1.
{
  "formula": "SrAg2HgIr",
  "functional": "GGA-PBE",
  "state": "optimized geometry",
  "lattice_angstrom": [[-3.2593, -1.9894, 3.4634], [3.0650, -4.1121, 0.5223], [2.5917, 2.4180, 3.8279]],
  "species": ["Sr", "Ir", "Hg", "Ag", "Ag"],
  "frac_coords": [[0.5000, 0.5000, 0.5000], [0.0000, 0.0000, 0.5000], [0.0000, 0.0000, 0.0000], [0.0000, 0.5000, 0.0000], [0.5000, 0.0000, 0.0000]],
  "formation_enthalpy_0k_ev_per_atom": 0.521,
  "space_group": "P4/mmm",
  "magmom_total_mub_per_fu": 0.000
}

=====

2.
{
  "formula": "Nb2HgB",
  "functional": "GGA-PBE",
  "state": "optimized geometry",
  "lattice_angstrom": [[7.3073, 0.0000, 0.0005], [0.0000, 5.9925, 0.0000], [-1.5206, 0.0000, 5.9859]],
  "species": ["Nb", "Nb", "Nb", "Nb", "Nb", "Nb", "Nb", "Nb", "B", "B", "B", "B", "Hg", "Hg", "Hg", "Hg"],
  "frac_coords": [[0.3050, 0.7531, 0.0925], [0.6950, 0.7531, 0.9075], [0.6950, 0.2469, 0.9075], [0.3050, 0.2469, 0.0925], [0.3050, 0.2531, 0.5925], [0.6950, 0.2531, 0.4075], [0.6950, 0.7469, 0.4075], [0.3050, 0.7469, 0.5925], [0.5569, 0.0000, 0.1355], [0.4431, 0.0000, 0.8645], [0.5569, 0.5000, 0.6355], [0.4431, 0.5000, 0.3645], [0.0149, 0.0000, 0.2548], [0.9851, 0.0000, 0.7452], [0.0149, 0.5000, 0.7548], [0.9851, 0.5000, 0.2452]],
  "formation_enthalpy_0k_ev_per_atom": -0.036,
  "space_group": "C2/m",
  "polymorph_energy_mev_per_atom": 230,
  "magmom_total_mub_per_fu": 0.000
}

=====

3.
{
  "formula": "Cs3K3Rb4Au2",
  "functional": "GGA-PBE",
  "state": "optimized geometry",
  "lattice_angstrom": [[6.9609, 0.0000, 0.0000], [0.0000, 6.6699, 0.0000], [-3.4804, -3.3349, 19.7342]],
  "species": ["Cs", "Cs", "Cs", "K", "K", "K", "Rb", "Rb", "Rb", "Rb", "Au", "Au"],
  "frac_coords": [[0.5116, 0.5000, 0.0000], [0.2975, 0.2963, 0.5926], [0.7049, 0.7037, 0.4074], [0.0091, 0.0000, 0.0000], [0.0954, 0.5917, 0.1835], [0.9119, 0.4083, 0.8165], [0.4060, 0.9064, 0.8128], [0.1722, 0.1717, 0.3434], [0.8287, 0.8283, 0.6566], [0.5932, 0.0936, 0.1872], [0.0824, 0.0836, 0.1672], [0.9152, 0.9164, 0.8328]],
  "formation_enthalpy_0k_ev_per_atom": -0.083,
  "space_group": "Imm2",
  "magmom_total_mub_per_fu": 0.000
}

=====

Which formula does entry 2 have? Nb2HgB